Record 1
{"formula": "BaMoW2", "functional": "PBE-GGA", "state": "relaxed", "cell": [[-2.5105, 2.9737, 2.2855], [-3.6125, 2.5915, -0.7767], [-4.7866, -4.6805, 2.3067]], "species": ["W", "Mo", "Ba", "W"], "fractional_positions": [[0.7274, 0.7274, 0.8535], [0.2722, 0.2722, 0.1464], [0.4986, 0.4986, 0.5000], [0.0017, 0.0017, 0.0001]], "relative_energy_kj_per_mol_fu": 74, "mass_density_g_cm3": 10.29, "formation_enthalpy_0k_ev_per_atom": 1.04, "vol_a3_per_cell": 96.95}

Record 2
{"formula": "KAlIr2", "functional": "PBE-GGA", "state": "relaxed", "cell": [[5.2265, -0.0040, 0.0000], [-1.8118, 4.9024, 0.0000], [0.0000, 0.0000, 2.7045]], "species": ["Al", "Ir", "Ir", "K"], "fractional_positions": [[0.0000, 0.5000, 0.5000], [0.5000, 0.5000, 0.0000], [0.0000, 0.0000, 0.0000], [0.5000, 0.0000, 0.5000]], "mass_density_g_cm3": 10.80, "formation_enthalpy_0k_ev_per_atom": 0.66, "vol_a3_per_cell": 69.28}

Record 3
{"formula": "ZrCoTcGe", "functional": "PBE-GGA", "state": "relaxed", "cell": [[4.3926, 0.0000, 0.0000], [2.1963, 3.8041, 0.0000], [2.1963, 1.2680, 3.5865]], "species": ["Ge", "Co", "Tc", "Zr"], "fractional_positions": [[0.2500, 0.2500, 0.2500], [0.5000, 0.5000, 0.5000], [0.0000, 0.0000, 0.0000], [0.7500, 0.7500, 0.7500]], "mass_density_g_cm3": 8.89, "formation_enthalpy_0k_ev_per_atom": -0.32, "vol_a3_per_cell": 59.93}

Record 4
{"formula": "La2AlCu3Au12", "functional": "PBE-GGA", "state": "relaxed", "cell": [[11.8218, 3.4082, 2.4174], [8.8019, 8.5964, 2.4174], [8.8019, 5.1234, 7.3139]], "species": ["Au", "Cu", "La", "Cu", "Au", "Au", "Cu", "Au", "Au", "Au", "Au", "Au", "Au", "Au", "Au", "La", "Al", "Au"], "fractional_positions": [[0.3893, 0.8842, 0.8842], [0.0000, 0.0000, 0.5000], [0.3586, 0.3586, 0.3586], [0.0000, 0.5000, 0.0000], [0.8842, 0.8842, 0.3893], [0.8651, 0.3949, 0.3949], [0.5000, 0.0000, 0.0000], [0.1158, 0.6107, 0.1158], [0.1158, 0.1158, 0.6107], [0.3949, 0.3949, 0.8651], [0.8842, 0.3893, 0.8842], [0.6051, 0.6051, 0.1349], [0.1349, 0.6051, 0.6051], [0.6107, 0.1158, 0.1158], [0.3949, 0.8651, 0.3949], [0.6414, 0.6414, 0.6414], [0.0000, 0.0000, 0.0000], [0.6051, 0.1349, 0.6051]], "mass_density_g_cm3": 12.62, "formation_enthalpy_0k_ev_per_atom": -0.20, "vol_a3_per_cell": 376.08}